# CrOsPt2 (PBE, optimized geometry)
# calculated formation energy = 389.2 meV per atom
# energy = -0.577 Ry per atom
data_CrOsPt2
_space_group_name_H-M_alt 'I -4 2 d'
_space_group_IT_number 122
_space_group_name_Hall 'I -4 2bw'
_cell_length_a 3.7677
_cell_length_b 3.7677
_cell_length_c 18.0094
_cell_angle_alpha 90.00
_cell_angle_beta 90.00
_cell_angle_gamma 90.00
loop_
_atom_site_label
_atom_site_fract_x
_atom_site_fract_y
_atom_site_fract_z
Cr1 0.0000 0.0000 0.0000
Os1 0.0000 0.0000 0.5000
Pt1 0.2485 0.2500 0.1250

# CrOsPt2 (PBE, optimized geometry)
# calculated formation energy = -68.6 meV per atom
# energy = -0.610 Ry per atom
data_CrOsPt2
_space_group_name_H-M_alt 'P 4 m m'
_space_group_IT_number 99
_space_group_name_Hall 'P 4 -2'
_cell_length_a 2.7211
_cell_length_b 2.7211
_cell_length_c 7.7477
_cell_angle_alpha 90.00
_cell_angle_beta 90.00
_cell_angle_gamma 90.00
loop_
_atom_site_label
_atom_site_fract_x
_atom_site_fract_y
_atom_site_fract_z
Cr1 0.0000 0.0000 0.0000
Os1 0.5000 0.5000 0.2180
Pt1 0.0000 0.0000 0.4812
Pt2 0.5000 0.5000 0.7596

# Cr2OsPt (PBE, optimized geometry)
# calculated formation energy = 113.2 meV per atom
# energy = -0.663 Ry per atom
data_Cr2OsPt
_space_group_name_H-M_alt 'R 3 m'
_space_group_IT_number 160
_space_group_name_Hall 'R 3 -2"'
_cell_length_a 2.6818
_cell_length_b 2.6818
_cell_length_c 26.2018
_cell_angle_alpha 90.00
_cell_angle_beta 90.00
_cell_angle_gamma 120.00
loop_
_atom_site_label
_atom_site_fract_x
_atom_site_fract_y
_atom_site_fract_z
Cr1 0.0000 0.0000 0.0000
Cr2 0.0000 0.0000 0.2541
Os1 0.0000 0.0000 0.5103
Pt1 0.0000 0.0000 0.7491

# CrOsPt2 (PBE, optimized geometry)
# calculated formation energy = 83.8 meV per atom
# energy = -0.599 Ry per atom
data_CrOsPt2
_space_group_name_H-M_alt 'R 3 m'
_space_group_IT_number 160
_space_group_name_Hall 'R 3 -2"'
_cell_length_a 2.6991
_cell_length_b 2.6991
_cell_length_c 28.7836
_cell_angle_alpha 90.00
_cell_angle_beta 90.00
_cell_angle_gamma 120.00
loop_
_atom_site_label
_atom_site_fract_x
_atom_site_fract_y
_atom_site_fract_z
Cr1 0.0000 0.0000 0.0000
Os1 0.0000 0.0000 0.4021
Pt1 0.0000 0.0000 0.4953
Pt2 0.0000 0.0000 0.5924

# CrOsPt (PBE, optimized geometry)
# E above lowest polymorph = 0.256 eV per atom
# calculated formation energy = 216.8 meV per atom
# energy = -0.643 Ry per atom
data_CrOsPt
_space_group_name_H-M_alt 'I 4 m m'
_space_group_IT_number 107
_space_group_name_Hall 'I 4 -2'
_cell_length_a 3.1375
_cell_length_b 3.1375
_cell_length_c 8.7564
_cell_angle_alpha 90.00
_cell_angle_beta 90.00
_cell_angle_gamma 90.00
loop_
_atom_site_label
_atom_site_fract_x
_atom_site_fract_y
_atom_site_fract_z
Cr1 0.0000 0.0000 0.0000
Os1 0.0000 0.0000 0.3734
Pt1 0.0000 0.0000 0.6786

# Cr2OsPt (PBE, optimized geometry)
# calculated formation energy = -27.4 meV per atom
# energy = -0.673 Ry per atom
data_Cr2OsPt
_space_group_name_H-M_alt 'C m m m'
_space_group_IT_number 65
_space_group_name_Hall '-C 2 2'
_cell_length_a 5.3722
_cell_length_b 7.4447
_cell_length_c 2.6729
_cell_angle_alpha 90.00
_cell_angle_beta 90.00
_cell_angle_gamma 90.00
loop_
_atom_site_label
_atom_site_fract_x
_atom_site_fract_y
_atom_site_fract_z
Cr1 0.2500 0.2500 0.0000
Os1 0.0000 0.0000 0.5000
Pt1 0.0000 0.5000 0.5000